Record 1
Compound: Pm8Tl2Rh
Source: the Alexandria database
Functional: PBE-GGA
Structure: optimized geometry

a = 5.1353 Å, b = 7.0027 Å, c = 9.8554 Å
α = 99.89°, β = 105.10°, γ = 90.00°
With the nearest neighbours (Å) after each atom.
Fractional coordinates of all 11 atoms:
Pm (0.7928, 0.6849, 0.5856)  3 Tl 3.20-3.36, 2 Pm 3.50
Pm (0.2072, 0.3151, 0.4144)  3 Tl 3.20-3.36, 2 Pm 3.50
Pm (0.9841, 0.2252, 0.9681)  2 Rh 3.06, 1 Tl 3.28, 1 Pm 3.32
Pm (0.5897, 0.4647, 0.1795)  1 Rh 3.40, 9 Pm 3.50-3.79, 2 Tl 3.59
Pm (0.3552, 0.0120, 0.7103)  1 Rh 2.77
Pm (0.0159, 0.7748, 0.0319)  2 Rh 3.06, 1 Tl 3.28, 1 Pm 3.32
Pm (0.6448, 0.9880, 0.2897)  1 Rh 2.77
Pm (0.4103, 0.5353, 0.8205)  1 Rh 3.40, 9 Pm 3.50-3.79, 2 Tl 3.59
Tl (0.8131, 0.2414, 0.6262)  7 Pm 3.20-3.37
Tl (0.1869, 0.7586, 0.3738)  7 Pm 3.20-3.37
Rh (0.5000, 0.0000, 0.0000)  6 Pm 2.77-3.06

***

Record 2
Compound: Pm4Tl5Rh2
Source: the Alexandria database
Functional: PBE-GGA
Structure: optimized geometry

a = 3.7520 Å, b = 7.9986 Å, c = 9.8080 Å
α = 94.14°, β = 90.00°, γ = 90.00°
With the nearest neighbours (Å) after each atom.
Fractional coordinates of all 11 atoms:
Pm (0.5000, 0.8145, 0.1576)  2 Rh 2.84
Pm (0.5000, 0.1855, 0.8424)  2 Rh 2.84
Pm (0.5000, 0.7863, 0.5660)  4 Rh 2.99-3.04
Pm (0.5000, 0.2137, 0.4340)  4 Rh 2.99-3.04
Rh (0.0000, 0.9218, 0.3634)  6 Pm 2.84-3.04, 1 Rh 2.87, 2 Tl 2.98-3.00
Rh (0.0000, 0.0782, 0.6366)  6 Pm 2.84-3.04, 1 Rh 2.87, 2 Tl 2.98-3.00
Tl (0.0000, 0.4543, 0.6656)  1 Rh 3.00, 1 Tl 3.27
Tl (0.0000, 0.5457, 0.3344)  1 Rh 3.00, 1 Tl 3.27
Tl (0.0000, 0.8425, 0.8591)  1 Rh 2.98, 1 Tl 3.16, 2 Pm 3.34
Tl (0.0000, 0.5000, 0.0000)  4 Tl 3.16-3.27, 4 Pm 3.42
Tl (0.0000, 0.1575, 0.1409)  1 Rh 2.98, 1 Tl 3.16, 2 Pm 3.34

***

Record 3
Compound: Pm2TlRh
Source: the Alexandria database
Functional: PBE-GGA
Structure: optimized geometry

a = 4.0330 Å, b = 4.0330 Å, c = 8.5765 Å
α = 76.43°, β = 76.43°, γ = 59.97°
With the nearest neighbours (Å) after each atom.
Fractional coordinates of all 4 atoms:
Tl (0.5000, 0.5000, 0.4999)  6 Pm 3.43
Rh (0.6663, 0.6663, 0.0009)  6 Pm 2.83-2.84
Pm (0.2685, 0.2685, 0.1948)  3 Rh 2.83
Pm (0.0652, 0.0652, 0.8045)  3 Rh 2.84

***

Record 4
Compound: Pm8TlRh2
Source: the Alexandria database
Functional: PBE-GGA
Structure: optimized geometry

a = 5.6255 Å, b = 8.1949 Å, c = 8.1949 Å
α = 115.40°, β = 97.85°, γ = 97.85°
With the nearest neighbours (Å) after each atom.
Fractional coordinates of all 11 atoms:
Pm (0.3069, 0.6049, 0.6049)  4 Pm 3.18-3.47, 2 Rh 3.33, 1 Tl 3.35
Pm (0.0628, 0.0805, 0.3314)  2 Rh 2.91-2.92
Pm (0.5000, 0.2463, 0.7537)  2 Rh 2.89
Pm (0.6931, 0.3951, 0.3951)  4 Pm 3.18-3.47, 2 Rh 3.33, 1 Tl 3.35
Pm (0.9372, 0.9195, 0.6686)  2 Rh 2.91-2.92
Pm (0.5000, 0.7537, 0.2463)  2 Rh 2.89
Pm (0.0628, 0.3314, 0.0805)  2 Rh 2.91-2.92
Pm (0.9372, 0.6686, 0.9195)  2 Rh 2.91-2.92
Tl (0.5000, 0.0000, 0.0000)  8 Pm 3.35-3.66
Rh (0.0000, 0.7053, 0.2947)  6 Pm 2.89-2.92
Rh (0.0000, 0.2947, 0.7053)  6 Pm 2.89-2.92

***

no.,energy of formation (eV per atom)
1,-0.261
2,-0.471
3,-0.469
4,-0.296